Pm2CdFeO5 | the Alexandria database | PBE with a Hubbard U | optimized geometry; size of the total moment = 8.0 Bohr magnetons per cell; symmetry = P4/mbm (127); electronic total energy = -6.73 eV per atom
1.0
6.668 0.000 0.000
0.000 6.668 0.000
0.000 0.000 5.803
Pm Cd Fe O
4 2 2 10
direct
0.173 0.327 0.000
0.327 0.827 0.000
0.673 0.173 0.000
0.827 0.673 0.000
0.000 0.000 0.500
0.500 0.500 0.500
0.000 0.500 0.500
0.500 0.000 0.500
0.000 0.000 0.000
0.143 0.643 0.255
0.143 0.643 0.745
0.357 0.143 0.255
0.357 0.143 0.745
0.500 0.500 0.000
0.643 0.857 0.255
0.643 0.857 0.745
0.857 0.357 0.255
0.857 0.357 0.745